# GGA-PBEsol TaCdRu2, relaxed
# * total moment: 0.000 μB per cell
# * energy of formation from the pure elements: 0.09 eV per atom
data_TaCdRu2
_chemical_formula_sum 'Ta3 Cd3 Ru6'
_symmetry_space_group_name_H-M 'R -3 m'
_symmetry_Int_Tables_number 166
_symmetry_space_group_name_Hall '-R 3 2"'
_cell_length_a 2.9773
_cell_length_b 2.9773
_cell_length_c 25.4944
_cell_angle_alpha 90.00
_cell_angle_beta 90.00
_cell_angle_gamma 120.00
loop_
_atom_site_label
_atom_site_fract_x
_atom_site_fract_y
_atom_site_fract_z
Ta1 0.0000 0.0000 0.0000
Cd1 0.0000 0.0000 0.5000
Ru1 0.0000 0.0000 0.2576